This record from the Alexandria database describes HfMnTeN2 after structural relaxation. The functional is GGA-PBE.

a = 4.1069 Å, b = 4.1069 Å, c = 6.0310 Å
α = 90.00°, β = 90.00°, γ = 90.00°
Closest atoms and distances in Å follow each position.
Atoms (fractional coordinates):
Hf: 0.0000 0.0000 0.0000  4 N 2.05
Mn: 0.5000 0.5000 0.5000  4 Te 2.90
Te: 0.0000 0.0000 0.5000  4 Mn 2.90, 2 Hf 3.02
N: 0.0000 0.5000 0.0000  2 Hf 2.05
N: 0.5000 0.0000 0.0000  2 Hf 2.05

Properties
Electronic total energy, eV per atom: -7.4458
Relative energy among the computed polymorphs, meV/atom: 0.0
Size of the total moment, μB/f.u.: 5.38
DOS at the Fermi energy, states/eV/f.u.: 3.1
Energy relative to the elements, uncorrected, eV/atom: 0.337
Space group: P4/mmm